First-principles (PBE-GGA) data for a relaxed structure of BaGdPd, as listed in Alexandria.

- Total magnetic moment: 7.29 μB per formula unit
- DFT formation energy: -399.3 meV per atom

Lattice parameters (Å, degrees): 3.7612 3.7612 13.7358 90.00 90.00 90.00
With the nearest neighbours (Å) after each atom.
Space group I4mm (No. 107)
One atom of each set of equivalent atoms:
Ba: 0.0000 0.0000 0.0000  4 Pd 3.52, 1 Gd 3.56, 4 Ba 3.76
Gd: 0.0000 0.0000 0.2595  4 Pd 2.94
Pd: 0.0000 0.0000 0.6674  4 Gd 2.94

***

First-principles (PBE-GGA) data for a relaxed structure of AgGe2H2, as listed in Alexandria.

- Energy above the lowest structure with this stoichiometry: 0.050 eV per atom
- Total magnetic moment: 0.00 μB per formula unit

Lattice parameters (Å, degrees): 3.2333 3.2333 12.3996 90.00 90.00 90.00
With the nearest neighbours (Å) after each atom.
Space group I4/mmm (No. 139)
One atom of each set of equivalent atoms:
Ag: 0.0000 0.0000 0.0000  8 Ge 2.91, 4 Ag 3.23
Ge: 0.0000 0.0000 0.3554  4 H 2.08
H: 0.0000 0.5000 0.2500  4 Ge 2.08, 4 H 2.29

***

First-principles (PBE-GGA) data for a relaxed structure of Sr2RePt, as listed in Alexandria.

- Energy above the lowest structure with this stoichiometry: 0.640 eV per atom
- Total magnetic moment: 1.19 μB per formula unit
- DFT formation energy: 759.8 meV per atom

Lattice parameters (Å, degrees): 3.4244 3.4244 28.6903 90.00 90.00 120.00
With the nearest neighbours (Å) after each atom.
Space group R-3m (No. 166, hexagonal axes)
One atom of each set of equivalent atoms:
Sr: 0.0000 0.0000 0.2473  3 Pt 3.04, 3 Re 3.16
Re: 0.0000 0.0000 0.0000  6 Sr 3.16, 6 Re 3.42
Pt: 0.0000 0.0000 0.5000  6 Sr 3.04

***

First-principles (PBE-GGA) data for a relaxed structure of CdSiMo2, as listed in Alexandria.

- Energy above the lowest structure with this stoichiometry: 0.271 eV per atom
- Total magnetic moment: 0.00 μB per formula unit
- Formation energy from raw total energies: 0.4042 eV per atom

Lattice parameters (Å, degrees): 6.3570 6.3570 6.3570 90.00 90.00 90.00
With the nearest neighbours (Å) after each atom.
Space group F-43m (No. 216)
One atom of each set of equivalent atoms:
Cd: 0.0000 0.0000 0.0000  4 Mo 2.75, 4 Si 2.75
Si: 0.2500 0.2500 0.7500  4 Cd 2.75, 4 Mo 2.75
Mo: 0.0000 0.0000 0.5000  4 Si 2.75, 4 Mo 2.75
Mo: 0.2500 0.2500 0.2500  4 Mo 2.75, 4 Cd 2.75

***

First-principles (PBE-GGA) data for a relaxed structure of BaZn2Te, as listed in Alexandria.

- Total magnetic moment: 0.00 μB per formula unit
- Formation energy from raw total energies: -0.5606 eV per atom

Lattice parameters (Å, degrees): 4.7716 4.7716 18.0937 90.00 90.00 120.00
With the nearest neighbours (Å) after each atom.
Space group R3m (No. 160, hexagonal axes)
One atom of each set of equivalent atoms:
Ba: 0.0000 0.0000 0.0000  6 Zn 3.42-3.48, 4 Te 3.57-3.76
Zn: 0.0000 0.0000 0.4508  3 Zn 2.76
Zn: 0.0000 0.0000 0.7787  3 Zn 2.76
Te: 0.0000 0.0000 0.2081  6 Zn 3.21-3.26, 3 Ba 3.57

***

First-principles (PBE-GGA) data for a relaxed structure of TbUSb2, as listed in Alexandria.

- Energy above the lowest structure with this stoichiometry: 0.193 eV per atom
- Total magnetic moment: 3.11 μB per formula unit
- Formation energy from raw total energies: -0.4737 eV per atom

Lattice parameters (Å, degrees): 5.6773 5.6773 3.2619 90.00 90.00 90.00
With the nearest neighbours (Å) after each atom.
Space group P4/mmm (No. 123)
One atom of each set of equivalent atoms:
Tb: 0.0000 0.0000 0.0000  2 Tb 3.26, 8 Sb 3.27
U: 0.5000 0.5000 0.0000  2 U 3.26, 8 Sb 3.27
Sb: 0.0000 0.5000 0.5000  2 Sb 3.26, 4 Tb 3.27, 4 U 3.27

***

First-principles (PBE-GGA) data for a relaxed structure of Ho4Tl2Te5, as listed in Alexandria.

- Total magnetic moment: 0.25 μB per formula unit
- Formation energy from raw total energies: -0.7724 eV per atom

Lattice parameters (Å, degrees): 27.6507 4.2324 6.8608 90.00 96.34 90.00
With the nearest neighbours (Å) after each atom.
Space group C2/m (No. 12)
One atom of each set of equivalent atoms:
Ho: 0.0328 0.0000 0.2857  3 Te 2.96, 1 Tl 3.23
Ho: 0.1880 0.5000 0.4356  5 Te 2.98-3.04
Tl: 0.0964 0.0000 0.7101  2 Ho 3.23-3.58, 2 Te 3.27-3.35
Te: 0.0000 0.5000 0.0000  4 Ho 2.96
Te: 0.1336 0.0000 0.1790  3 Ho 2.96-3.04, 1 Tl 3.27
Te: 0.2182 0.0000 0.7415  3 Ho 2.98-3.03

***

First-principles (PBE-GGA) data for a relaxed structure of Ho4Ir2I5, as listed in Alexandria.

- Total magnetic moment: 0.00 μB per formula unit
- Formation energy from raw total energies: -0.9429 eV per atom

Lattice parameters (Å, degrees): 24.2223 4.1025 8.2858 90.00 90.34 90.00
With the nearest neighbours (Å) after each atom.
Space group C2/m (No. 12)
One atom of each set of equivalent atoms:
Ho: 0.0309 0.0000 0.3073  2 Ir 2.72
Ho: 0.1571 0.5000 0.4400  1 Ir 2.58
Ir: 0.0536 0.5000 0.5134  3 Ho 2.58-2.72, 1 Ir 2.60
I: 0.0000 0.5000 0.0000  4 Ho 3.35
I: 0.1523 0.0000 0.1591  3 Ho 3.10-3.19
I: 0.2045 0.0000 0.6783  2 Ho 3.07

***

First-principles (PBE-GGA) data for a relaxed structure of Gd2GeRh, as listed in Alexandria.

- Total magnetic moment: 14.06 μB per formula unit
- DFT formation energy: -731.7 meV per atom

Lattice parameters (Å, degrees): 4.8017 4.8017 3.7861 90.00 90.00 90.00
With the nearest neighbours (Å) after each atom.
Space group P4/mmm (No. 123)
One atom of each set of equivalent atoms:
Gd: 0.0000 0.5000 0.0000  4 Ge 3.06, 4 Rh 3.06, 4 Gd 3.40
Ge: 0.0000 0.0000 0.5000  8 Gd 3.06, 4 Rh 3.40
Rh: 0.5000 0.5000 0.5000  8 Gd 3.06, 4 Ge 3.40

***

First-principles (PBE-GGA) data for a relaxed structure of Tl3Cd7In2, as listed in Alexandria.

- Total magnetic moment: 0.00 μB per formula unit
- DFT formation energy: 41.3 meV per atom

Lattice parameters (Å, degrees): 6.0298 6.0298 30.8591 90.00 90.00 120.00
With the nearest neighbours (Å) after each atom.
Space group R-3m (No. 166, hexagonal axes)
One atom of each set of equivalent atoms:
Tl: 0.0000 0.0000 0.0000  6 In 3.48
Tl: 0.0000 0.0000 0.1444  12 Cd 3.50-3.59, 3 Tl 3.74
Cd: 0.0000 0.0000 0.5000  6 Cd 3.03
Cd: 0.0042 0.5021 0.9132  5 Cd 2.98-3.05, 2 In 3.19-3.20
In: 0.0000 0.0000 0.3342  6 Cd 3.19-3.20, 3 Tl 3.48, 3 In 3.48

***

First-principles (PBE-GGA) data for a relaxed structure of Ca3Si4Rh2, as listed in Alexandria.

- Total magnetic moment: 0.00 μB per formula unit
- Formation energy from raw total energies: -0.7103 eV per atom

Lattice parameters (Å, degrees): 11.0501 4.1315 8.1104 90.00 106.69 90.00
With the nearest neighbours (Å) after each atom.
Space group C2/m (No. 12)
One atom of each set of equivalent atoms:
Ca: 0.0000 0.0000 0.0000  8 Si 3.19-3.23
Ca: 0.1083 0.5000 0.6940  7 Si 3.00-3.09, 4 Rh 3.11-3.22
Si: 0.1081 0.0000 0.4119  3 Rh 2.35-2.44
Si: 0.2295 0.5000 0.0785  1 Rh 2.43, 2 Si 2.54
Rh: 0.1921 0.5000 0.3592  4 Si 2.35-2.44

***

First-principles (PBE-GGA) data for a relaxed structure of HfTaMo14, as listed in Alexandria.

- Total magnetic moment: 0.00 μB per formula unit
- DFT formation energy: -72.5 meV per atom

Lattice parameters (Å, degrees): 6.3682 9.0228 9.0263 90.00 90.00 90.00
With the nearest neighbours (Å) after each atom.
Space group Cmmm (No. 65)
One atom of each set of equivalent atoms:
Hf: 0.0000 0.0000 0.0000  8 Mo 2.76-2.82
Ta: 0.0000 0.5000 0.0000  8 Mo 2.76-2.81
Mo: 0.0000 0.0000 0.5000  8 Mo 2.71-2.76
Mo: 0.0000 0.2501 0.2520  8 Mo 2.75-2.78
Mo: 0.0000 0.5000 0.5000  8 Mo 2.70-2.76
Mo: 0.2485 0.5000 0.2575  6 Mo 2.70-2.77, 1 Ta 2.81, 1 Hf 2.82
Mo: 0.2500 0.2500 0.0000  2 Hf 2.76, 2 Ta 2.76, 4 Mo 2.78
Mo: 0.2500 0.2500 0.5000  8 Mo 2.75-2.76

***

no.,N(E_F) (states/eV per atom)
1,1.261
2,0.272
3,0.875
4,0.389
5,0.131
6,1.976
7,0.460
8,0.091
9,0.596
10,0.359
11,0.490
12,0.529